{"formula": "CaSbPt2", "functional": "PBE", "state": "optimized geometry", "total_energy_ev_per_cell": -20.86, "m_tot_mub_per_fu": 0.00, "raw_formation_energy_ev_per_atom": -0.663, "sg": "No. 8", "lattice_angstrom": [[4.641, -2.020, 0.000], [4.641, 2.020, 0.000], [-1.677, 0.000, 4.768]], "species": ["Ca", "Sb", "Pt", "Pt"], "frac_coords": [[0.000, 0.000, 0.000], [0.221, 0.221, 0.632], [0.500, 0.500, 0.465], [0.787, 0.787, 0.364]]}

=====

{"formula": "AcAgP2", "functional": "PBE", "state": "optimized geometry", "total_energy_ev_per_cell": -19.16, "de_polymorph_mev_per_atom": 0, "formation_energy_mev_per_atom": -344, "m_tot_mub_per_fu": 0.00, "sg": "No. 123", "lattice_angstrom": [[4.703, 0.000, 0.000], [0.000, 4.703, 0.000], [0.000, 0.000, 4.099]], "species": ["Ac", "Ag", "P", "P"], "frac_coords": [[0.000, 0.000, 0.000], [0.500, 0.500, 0.000], [0.000, 0.500, 0.500], [0.500, 0.000, 0.500]]}

=====

{"formula": "SrPr6Dy2", "functional": "PBE", "state": "optimized geometry", "total_energy_ev_per_cell": -39.02, "formation_energy_mev_per_atom": 61, "m_tot_mub_per_fu": 0.00, "sg": "No. 12", "lattice_angstrom": [[7.914, -2.621, 0.000], [7.914, 2.621, 0.000], [-2.668, 0.000, 7.907]], "species": ["Sr", "Pr", "Pr", "Pr", "Pr", "Pr", "Pr", "Dy", "Dy"], "frac_coords": [[0.000, 0.000, 0.000], [0.226, 0.226, 0.339], [0.327, 0.327, 0.004], [0.444, 0.444, 0.652], [0.556, 0.556, 0.348], [0.673, 0.673, 0.996], [0.774, 0.774, 0.661], [0.112, 0.112, 0.658], [0.888, 0.888, 0.342]]}

=====

{"formula": "H2Pb3F8", "functional": "PBE", "state": "optimized geometry", "total_energy_ev_per_cell": -58.80, "m_tot_mub_per_fu": 0.00, "sg": "No. 166", "lattice_angstrom": [[2.887, 1.667, 6.490], [-2.887, 1.667, 6.490], [0.000, -3.334, 6.490]], "species": ["H", "H", "Pb", "Pb", "Pb", "F", "F", "F", "F", "F", "F", "F", "F"], "frac_coords": [[0.113, 0.113, 0.113], [0.887, 0.887, 0.887], [0.305, 0.305, 0.305], [0.500, 0.500, 0.500], [0.695, 0.695, 0.695], [0.163, 0.163, 0.163], [0.239, 0.239, 0.710], [0.239, 0.710, 0.239], [0.290, 0.761, 0.761], [0.710, 0.239, 0.239], [0.761, 0.290, 0.761], [0.761, 0.761, 0.290], [0.837, 0.837, 0.837]]}

=====

{"formula": "TaIn2Fe", "functional": "PBE", "state": "optimized geometry", "total_energy_ev_per_cell": -24.09, "de_polymorph_mev_per_atom": 322, "formation_energy_mev_per_atom": 425, "m_tot_mub_per_fu": 2.56, "sg": "No. 123", "lattice_angstrom": [[4.981, 0.000, 0.000], [0.000, 4.981, 0.000], [0.000, 0.000, 3.008]], "species": ["Ta", "In", "In", "Fe"], "frac_coords": [[0.000, 0.000, 0.000], [0.000, 0.500, 0.500], [0.500, 0.000, 0.500], [0.500, 0.500, 0.000]]}

=====

{"formula": "MgCrPd", "functional": "PBE", "state": "optimized geometry", "total_energy_ev_per_cell": -33.26, "formation_energy_mev_per_atom": -73, "m_tot_mub_per_fu": 0.00, "sg": "No. 2", "lattice_angstrom": [[2.801, 0.000, 0.000], [0.526, 4.593, 0.000], [0.241, 2.292, 7.126]], "species": ["Mg", "Mg", "Cr", "Cr", "Pd", "Pd"], "frac_coords": [[0.009, 0.188, 0.122], [0.991, 0.812, 0.878], [0.110, 0.191, 0.500], [0.890, 0.809, 0.500], [0.499, 0.368, 0.768], [0.501, 0.632, 0.232]]}

=====

{"formula": "Rh2SBr", "functional": "PBE", "state": "optimized geometry", "total_energy_ev_per_cell": -18.75, "de_polymorph_mev_per_atom": 402, "m_tot_mub_per_fu": 0.00, "raw_formation_energy_ev_per_atom": 0.437, "sg": "No. 225", "lattice_angstrom": [[0.000, 3.149, 3.149], [3.149, 0.000, 3.149], [3.149, 3.149, 0.000]], "species": ["Rh", "Rh", "S", "Br"], "frac_coords": [[0.250, 0.250, 0.250], [0.750, 0.750, 0.750], [0.000, 0.000, 0.000], [0.500, 0.500, 0.500]]}

=====

{"formula": "Sn2SbTeSe3", "functional": "PBE", "state": "optimized geometry", "total_energy_ev_per_cell": -54.48, "m_tot_mub_per_fu": 0.00, "raw_formation_energy_ev_per_atom": -0.217, "sg": "No. 166", "lattice_angstrom": [[4.429, 2.557, 6.560], [-4.429, 2.557, 6.560], [0.000, -5.114, 6.560]], "species": ["Sn", "Sn", "Sn", "Sn", "Sb", "Sb", "Te", "Te", "Se", "Se", "Se", "Se", "Se", "Se"], "frac_coords": [[0.000, 0.000, 0.000], [0.000, 0.000, 0.500], [0.000, 0.500, 0.000], [0.500, 0.000, 0.000], [0.408, 0.408, 0.408], [0.592, 0.592, 0.592], [0.261, 0.261, 0.261], [0.739, 0.739, 0.739], [0.223, 0.762, 0.762], [0.238, 0.238, 0.777], [0.238, 0.777, 0.238], [0.762, 0.223, 0.762], [0.762, 0.762, 0.223], [0.777, 0.238, 0.238]]}

=====

{"formula": "ErPHRu2", "functional": "PBE", "state": "optimized geometry", "total_energy_ev_per_cell": -69.91, "m_tot_mub_per_fu": 0.00, "sg": "No. 63", "lattice_angstrom": [[1.788, -5.298, 0.000], [1.788, 5.298, 0.000], [0.000, 0.000, 7.231]], "species": ["Er", "Er", "P", "P", "H", "H", "Ru", "Ru", "Ru", "Ru"], "frac_coords": [[0.052, 0.948, 0.750], [0.948, 0.052, 0.250], [0.229, 0.771, 0.250], [0.771, 0.229, 0.750], [0.500, 0.500, 0.000], [0.500, 0.500, 0.500], [0.341, 0.659, 0.557], [0.341, 0.659, 0.943], [0.659, 0.341, 0.057], [0.659, 0.341, 0.443]]}

=====

{"formula": "Ac4OsPb2", "functional": "PBE", "state": "optimized geometry", "total_energy_ev_per_cell": -36.76, "de_polymorph_mev_per_atom": 93, "formation_energy_mev_per_atom": -241, "m_tot_mub_per_fu": 0.00, "sg": "No. 139", "lattice_angstrom": [[-2.780, 2.780, 8.905], [2.780, -2.780, 8.905], [2.780, 2.780, -8.905]], "species": ["Ac", "Ac", "Ac", "Ac", "Os", "Pb", "Pb"], "frac_coords": [[0.000, 0.500, 0.500], [0.173, 0.173, 0.000], [0.500, 0.000, 0.500], [0.827, 0.827, 0.000], [0.000, 0.000, 0.000], [0.363, 0.363, 0.000], [0.637, 0.637, 0.000]]}

=====

{"formula": "NbAs2SeBr", "functional": "PBE", "state": "optimized geometry", "total_energy_ev_per_cell": -17.89, "de_polymorph_mev_per_atom": 1215, "m_tot_mub_per_fu": 1.58, "raw_formation_energy_ev_per_atom": 1.327, "sg": "No. 123", "lattice_angstrom": [[4.952, 0.000, 0.000], [0.000, 4.952, 0.000], [0.000, 0.000, 5.066]], "species": ["Nb", "As", "As", "Se", "Br"], "frac_coords": [[0.000, 0.000, 0.000], [0.000, 0.500, 0.500], [0.500, 0.000, 0.500], [0.500, 0.500, 0.000], [0.500, 0.500, 0.500]]}

=====

{"formula": "YPbOF2", "functional": "PBE", "state": "optimized geometry", "total_energy_ev_per_cell": -26.12, "de_polymorph_mev_per_atom": 1158, "m_tot_mub_per_fu": 1.00, "raw_formation_energy_ev_per_atom": -1.450, "sg": "No. 123", "lattice_angstrom": [[4.596, 0.000, 0.000], [0.000, 4.596, 0.000], [0.000, 0.000, 4.854]], "species": ["Y", "Pb", "O", "F", "F"], "frac_coords": [[0.000, 0.000, 0.000], [0.500, 0.500, 0.500], [0.500, 0.500, 0.000], [0.000, 0.500, 0.500], [0.500, 0.000, 0.500]]}